Below is a relaxed structure of Gd3ErIr, with properties calculated at the GGA-PBE level. Values from VASP.

* space-group type: Pm-3m (221)
* DFT formation energy: -1.09 eV/f.u.
* N(E_F): 7.725 states/eV/cell

Quantum ESPRESSO input file:
```
&SYSTEM
  ibrav = 0, nat = 5, ntyp = 3
/
ATOMIC_SPECIES
Er 167.26 Er.upf
Gd 157.25 Gd.upf
Ir 192.22 Ir.upf
ATOMIC_POSITIONS crystal
Er 0.500 0.500 0.500
Gd 0.000 0.500 0.000
Gd 0.000 0.000 0.500
Gd 0.500 0.000 0.000
Ir 0.000 0.000 0.000
CELL_PARAMETERS angstrom
5.467 0.000 0.000
0.000 5.467 0.000
0.000 0.000 5.467
```